This record from Alexandria via LeMat-Bulk describes a relaxed AlCoNF6 crystal. The functional is PBE with a Hubbard U.

Crystal system   orthorhombic
Calculated total energy   -4.989 eV per atom
Size of the total moment   0.7801 μB per atom
SG   Imma, No. 74

Cell lengths 7.065, 7.065, 7.065 Å; angles 120.69, 118.84, 90.42 degrees
Positions (direct):
Al (0.500, 0.000, 0.000)
Al (0.500, 0.500, 0.500)
Co (0.000, 0.000, 0.000)
Co (0.500, 0.000, 0.500)
N (0.131, 0.381, 0.750)
N (0.869, 0.619, 0.250)
F (0.175, 0.925, 0.250)
F (0.195, 0.322, 0.266)
F (0.195, 0.929, 0.873)
F (0.444, 0.071, 0.766)
F (0.444, 0.678, 0.373)
F (0.447, 0.697, 0.750)
F (0.553, 0.303, 0.250)
F (0.556, 0.322, 0.627)
F (0.556, 0.929, 0.234)
F (0.805, 0.071, 0.127)
F (0.805, 0.678, 0.734)
F (0.825, 0.075, 0.750)